No. 1
# Ce2CuSn8 (PBE-GGA, relaxed)
# Spin magnetization: 0.65 μB per formula unit
# Crystal system: tetragonal
# Energy: -4.694 eV per atom
# Formation energy: -331 meV/atom
data_Ce2CuSn8
_cell_length_a 4.732
_cell_length_b 4.732
_cell_length_c 12.555
_cell_angle_alpha 90.00
_cell_angle_beta 90.00
_cell_angle_gamma 90.00
_symmetry_space_group_name_H-M 'P 4/m m m'
_symmetry_Int_Tables_number 123
_symmetry_space_group_name_Hall '-P 4 2'
loop_
_atom_site_label
_atom_site_type_symbol
_atom_site_fract_x
_atom_site_fract_y
_atom_site_fract_z
_atom_site_occupancy
Ce1 Ce 0.000 0.000 0.185 1
Cu1 Cu 0.000 0.000 0.500 1
Sn1 Sn 0.000 0.500 0.000 1
Sn2 Sn 0.000 0.500 0.376 1
Sn3 Sn 0.500 0.500 0.185 1

No. 2
# Er4GaTe2S (PBE-GGA, relaxed)
# Spin magnetization: 0.00 μB per formula unit
# Crystal system: monoclinic
# Energy: -5.247 eV per atom
# E_form (uncorrected): -1285 meV per atom
data_Er4GaTe2S
_cell_length_a 7.170
_cell_length_b 4.094
_cell_length_c 7.415
_cell_angle_alpha 90.00
_cell_angle_beta 108.64
_cell_angle_gamma 90.00
_symmetry_space_group_name_H-M 'P 1 2/m 1'
_symmetry_Int_Tables_number 10
_symmetry_space_group_name_Hall '-P 2y'
loop_
_atom_site_label
_atom_site_type_symbol
_atom_site_fract_x
_atom_site_fract_y
_atom_site_fract_z
_atom_site_occupancy
Er1 Er 0.238 0.000 0.221 1
Er2 Er 0.260 0.500 0.787 1
Ga1 Ga 0.000 0.500 0.000 1
Te1 Te 0.000 0.000 0.500 1
Te2 Te 0.500 0.500 0.500 1
S1 S 0.500 0.000 0.000 1

No. 3
# ZnCrSn3 (PBE-GGA, relaxed)
# Spin magnetization: 0.00 μB per formula unit
# Distance to the lowest polymorph of the same formula: 0 kJ/mol of formula units
# Crystal system: cubic
# Energy: -4.308 eV per atom
# Formation energy: 273 meV/atom
data_ZnCrSn3
_cell_length_a 5.050
_cell_length_b 5.050
_cell_length_c 5.050
_cell_angle_alpha 90.00
_cell_angle_beta 90.00
_cell_angle_gamma 90.00
_symmetry_space_group_name_H-M 'P m -3 m'
_symmetry_Int_Tables_number 221
_symmetry_space_group_name_Hall '-P 4 2 3'
loop_
_atom_site_label
_atom_site_type_symbol
_atom_site_fract_x
_atom_site_fract_y
_atom_site_fract_z
_atom_site_occupancy
Zn1 Zn 0.000 0.000 0.000 1
Cr1 Cr 0.500 0.500 0.500 1
Sn1 Sn 0.000 0.500 0.500 1

No. 4
# MnSe2N2 (PBE-GGA, relaxed)
# Spin magnetization: 0.21 μB per formula unit
# Distance to the lowest polymorph of the same formula: 750 kJ/mol of formula units
# Crystal system: tetragonal
# Energy: -5.277 eV per atom
# E_form (uncorrected): 1281 meV per atom
data_MnSe2N2
_cell_length_a 4.819
_cell_length_b 4.819
_cell_length_c 3.424
_cell_angle_alpha 90.00
_cell_angle_beta 90.00
_cell_angle_gamma 90.00
_symmetry_space_group_name_H-M 'P 4/m m m'
_symmetry_Int_Tables_number 123
_symmetry_space_group_name_Hall '-P 4 2'
loop_
_atom_site_label
_atom_site_type_symbol
_atom_site_fract_x
_atom_site_fract_y
_atom_site_fract_z
_atom_site_occupancy
Mn1 Mn 0.000 0.000 0.000 1
Se1 Se 0.000 0.500 0.000 1
N1 N 0.000 0.000 0.500 1
N2 N 0.500 0.500 0.500 1

What is the energy in the fourth record? -5.277 eV per atom

Which value of spin magnetization does entry 2 give? 0.00 μB per formula unit

Which value of energy does entry 1 give? -4.694 eV per atom

Which value of spin magnetization does entry 2 give? 0.00 μB per formula unit